Record 1
A PBEsol-optimized structure of B2TeOs. Source: Alexandria via LeMat-Bulk, functional SCAN.

Theoretical density ... 8.8 g cm⁻³
E_tot ... -243.184 eV/cell
Total magnetization ... 0.000 μB per atom

a b c (Å): 6.151 6.151 6.151
angles (deg): 131.60 131.60 70.86
Fractional coordinates of all 8 atoms:
B  0.071  0.625  0.946
B  0.375  0.321  0.446
B  0.679  0.125  0.054
B  0.875  0.929  0.554
Te  0.250  0.750  0.500
Te  0.500  0.500  0.000
Os  0.000  0.000  0.000
Os  0.750  0.250  0.500



Record 2
A PBEsol-optimized structure of BTeOs3. Source: Alexandria via LeMat-Bulk, functional SCAN.

Theoretical density ... 16.3 g cm⁻³
Total magnetization ... 0.000 μB per atom
ΔE to the lowest computed polymorph ... 0.00 eV per formula unit

a b c (Å): 4.161 4.161 4.161
angles (deg): 90.00 90.00 90.00
Fractional coordinates of all 5 atoms:
B  0.000  0.000  0.000
Te  0.500  0.500  0.500
Os  0.000  0.000  0.500
Os  0.000  0.500  0.000
Os  0.500  0.000  0.000



Record 3
A PBEsol-optimized structure of BTeOs3. Source: Alexandria via LeMat-Bulk, functional SCAN.

Theoretical density ... 10.8 g cm⁻³
Total magnetization ... 0.319 μB per atom
ΔE to the lowest computed polymorph ... 13.66 eV per formula unit

a b c (Å): 4.779 4.779 4.779
angles (deg): 90.00 90.00 90.00
Fractional coordinates of all 5 atoms:
B  0.000  0.000  0.000
Te  0.500  0.500  0.500
Os  0.000  0.500  0.500
Os  0.500  0.000  0.500
Os  0.500  0.500  0.000